Below is crystalline Mn2CdS at its relaxed geometry, with properties calculated at the GGA-PBE level.

Properties
The space-group type is I-42d (122). The polymorph energy (0 for the lowest one) comes out at 0.000 eV per atom. The uncorrected formation energy is 0.323 eV per atom. For the density of states at the Fermi level, the calculation gives 3.190 states/eV per cell. The calculation puts the density at 4.3 Mg/m³.

Unit cell a=6.063 b=6.063 c=10.570 alpha=90.00 beta=90.00 gamma=90.00
Atoms (fractional coordinates):
Mn: 0.183 0.250 0.125
Mn: 0.250 0.683 0.375
Mn: 0.250 0.817 0.875
Mn: 0.317 0.250 0.625
Mn: 0.683 0.750 0.625
Mn: 0.750 0.183 0.875
Mn: 0.750 0.317 0.375
Mn: 0.817 0.750 0.125
Cd: 0.000 0.000 0.500
Cd: 0.000 0.500 0.750
Cd: 0.500 0.000 0.250
Cd: 0.500 0.500 0.000
S: 0.000 0.000 0.000
S: 0.000 0.500 0.250
S: 0.500 0.000 0.750
S: 0.500 0.500 0.500